(one)
A plane-wave DFT calculation with PBE was carried out for an optimized crystal structure of Cs2YPdI6. Values from VASP.

Structure (Quantum ESPRESSO input):
```
&SYSTEM
  ibrav = 0, nat = 10, ntyp = 4
/
ATOMIC_SPECIES
Cs 132.91 Cs.upf
I 126.90 I.upf
Y 88.91 Y.upf
Pd 106.42 Pd.upf
CELL_PARAMETERS angstrom
8.493 0.000 0.000
0.000 8.493 0.000
4.246 4.246 5.949
ATOMIC_POSITIONS crystal
Cs 0.750 0.250 0.500
Cs 0.250 0.750 0.500
I 0.244 0.244 0.511
I 0.756 0.756 0.489
I 0.247 0.247 0.000
I 0.753 0.753 0.000
I 0.753 0.247 0.000
I 0.247 0.753 0.000
Y 0.500 0.500 0.000
Pd 0.000 0.000 0.000
```

Its total magnetic moment is 0.100 μB per atom. As for the space-group type: I4/mmm. For the density, the calculation gives 4731 kg/m³.


(two)
A plane-wave DFT calculation with PBE was carried out for an optimized crystal structure of Cs2YPdI6. Values from VASP.

Structure (Quantum ESPRESSO input):
```
&SYSTEM
  ibrav = 0, nat = 20, ntyp = 4
/
ATOMIC_SPECIES
Cs 132.91 Cs.upf
Y 88.91 Y.upf
Pd 106.42 Pd.upf
I 126.90 I.upf
CELL_PARAMETERS angstrom
-5.723 -4.182 4.659
0.161 -8.474 0.313
6.691 -3.650 12.663
ATOMIC_POSITIONS crystal
Cs 0.879 0.879 0.362
Cs 0.121 0.121 0.638
Cs 0.704 0.704 0.887
Cs 0.296 0.296 0.113
Y 0.583 0.583 0.252
Y 0.417 0.417 0.748
Pd 0.000 0.000 0.000
Pd 0.500 0.500 0.500
I 0.872 0.374 0.380
I 0.374 0.872 0.380
I 0.374 0.374 0.380
I 0.128 0.626 0.620
I 0.626 0.128 0.620
I 0.626 0.626 0.620
I 0.712 0.206 0.876
I 0.206 0.712 0.876
I 0.206 0.206 0.876
I 0.288 0.794 0.124
I 0.794 0.288 0.124
I 0.794 0.794 0.124
```

Its total magnetic moment is 0.104 μB per atom. As for the space-group type: R-3m. For the density, the calculation gives 4673 kg/m³.


Q: Which of them is the least stable? A: (one).


(one)
A plane-wave DFT calculation with PBE was carried out for an optimized crystal structure of CsPmI3. Values from VASP.

Structure (Quantum ESPRESSO input):
```
&SYSTEM
  ibrav = 0, nat = 10, ntyp = 3
/
ATOMIC_SPECIES
Cs 132.91 Cs.upf
Pm 145.00 Pm.upf
I 126.90 I.upf
CELL_PARAMETERS angstrom
-4.449 -3.549 -4.272
0.519 -6.548 4.899
-6.688 2.887 4.567
ATOMIC_POSITIONS crystal
Cs 0.250 0.754 0.500
Cs 0.750 0.246 0.500
Pm 0.500 0.000 0.000
Pm 0.000 0.000 0.000
I 0.250 0.169 0.736
I 0.750 0.319 0.000
I 0.250 0.681 0.000
I 0.750 0.831 0.736
I 0.250 0.169 0.264
I 0.750 0.831 0.264
```

Its total magnetic moment is 0.020 μB per atom. As for the space-group type: Pmma. For the density, the calculation gives 4363 kg/m³.


(two)
A plane-wave DFT calculation with PBE was carried out for an optimized crystal structure of CsPmI3. Values from VASP.

Structure (Quantum ESPRESSO input):
```
&SYSTEM
  ibrav = 0, nat = 5, ntyp = 3
/
ATOMIC_SPECIES
Cs 132.91 Cs.upf
I 126.90 I.upf
Pm 145.00 Pm.upf
CELL_PARAMETERS angstrom
-2.388 5.590 -1.315
-2.834 0.091 5.535
4.994 2.725 2.512
ATOMIC_POSITIONS crystal
Cs 0.500 0.500 0.500
I 0.000 0.500 0.000
I 0.000 0.000 0.500
I 0.500 0.000 0.000
Pm 0.000 0.000 0.000
```

Its total magnetic moment is 0.000 μB per atom. As for the space-group type: Pm-3m. For the density, the calculation gives 4546 kg/m³.


Q: Which of them is the least stable? A: (two).